Here is a relaxed structure of BaNa2CuN from Alexandria. Energies are from PBEsol.

Cell: 4.3697 6.4483 6.4483 Å, 90.00 90.00 90.00°
Element x y z (fractional)
Na  0.0000  0.0000  0.5000
Na  0.0000  0.5000  0.0000
Ba  0.0000  0.0000  0.0000
Cu  0.5000  0.5000  0.5000
N  0.5000  0.0000  0.0000

Results
* symmetry: No. 123
* spin magnetization: 0.000 μB per atom
* V: 36.340 Å³/atom
* ρ: 2.38 Mg/m³
* uncorrected formation energy: 1049 meV per atom